Entry 1:
# La3Re5, optimized geometry, DFT PBE-GGA
data_La3Re5
_symmetry_space_group_name_H-M 'P 1'
_symmetry_Int_Tables_number 1
_cell_length_a 8.752
_cell_length_b 8.752
_cell_length_c 4.856
_cell_angle_alpha 90.00
_cell_angle_beta 90.00
_cell_angle_gamma 81.82
loop_
_symmetry_equiv_pos_as_xyz
'x,y,z'
loop_
_atom_site_label
_atom_site_fract_x
_atom_site_fract_y
_atom_site_fract_z
_atom_site_occupancy
La1 0.085 0.554 0.250 1
La2 0.149 0.851 0.750 1
La3 0.446 0.915 0.250 1
La4 0.554 0.085 0.750 1
La5 0.851 0.149 0.250 1
La6 0.915 0.446 0.750 1
Re1 0.214 0.214 0.000 1
Re2 0.214 0.214 0.500 1
Re3 0.325 0.449 0.750 1
Re4 0.388 0.612 0.250 1
Re5 0.449 0.325 0.250 1
Re6 0.551 0.675 0.750 1
Re7 0.612 0.388 0.750 1
Re8 0.675 0.551 0.250 1
Re9 0.786 0.786 0.000 1
Re10 0.786 0.786 0.500 1
# - N(E_F): 15.5 states/eV per cell
# - Formation enthalpy at 0 K: 0.39 eV/atom
# - Total magnetization: 0.0000 μB/atom
# - Distance to the lowest polymorph of the same formula: 0 meV per atom


Entry 2:
# La2InOs, optimized geometry, DFT PBE-GGA
data_La2InOs
_symmetry_space_group_name_H-M 'P 1'
_symmetry_Int_Tables_number 1
_cell_length_a 5.091
_cell_length_b 5.091
_cell_length_c 4.021
_cell_angle_alpha 90.00
_cell_angle_beta 90.00
_cell_angle_gamma 90.00
loop_
_symmetry_equiv_pos_as_xyz
'x,y,z'
loop_
_atom_site_label
_atom_site_fract_x
_atom_site_fract_y
_atom_site_fract_z
_atom_site_occupancy
La1 0.000 0.500 0.000 1
La2 0.500 0.000 0.000 1
In1 0.000 0.000 0.500 1
Os1 0.500 0.500 0.500 1
# - N(E_F): 3.1 states/eV per cell
# - Formation enthalpy at 0 K: -0.05 eV/atom
# - Total magnetization: 0.0000 μB/atom


Entry 3:
# PrNd5Ho12, optimized geometry, DFT PBE-GGA
data_PrNd5Ho12
_symmetry_space_group_name_H-M 'P 1'
_symmetry_Int_Tables_number 1
_cell_length_a 10.379
_cell_length_b 10.379
_cell_length_c 5.954
_cell_angle_alpha 90.01
_cell_angle_beta 90.01
_cell_angle_gamma 113.28
loop_
_symmetry_equiv_pos_as_xyz
'x,y,z'
loop_
_atom_site_label
_atom_site_fract_x
_atom_site_fract_y
_atom_site_fract_z
_atom_site_occupancy
Pr1 0.000 0.000 0.000 1
Nd1 0.167 0.833 0.500 1
Nd2 0.333 0.667 0.000 1
Nd3 0.500 0.500 0.500 1
Nd4 0.667 0.333 0.000 1
Nd5 0.833 0.167 0.500 1
Ho1 0.012 0.345 0.947 1
Ho2 0.155 0.489 0.447 1
Ho3 0.178 0.178 0.551 1
Ho4 0.323 0.323 0.051 1
Ho5 0.345 0.012 0.947 1
Ho6 0.489 0.155 0.447 1
Ho7 0.511 0.845 0.553 1
Ho8 0.655 0.988 0.053 1
Ho9 0.677 0.677 0.949 1
Ho10 0.822 0.822 0.449 1
Ho11 0.845 0.511 0.553 1
Ho12 0.988 0.655 0.053 1
# - N(E_F): 29.2 states/eV per cell
# - Formation enthalpy at 0 K: 0.10 eV/atom
# - Total magnetization: 0.0000 μB/atom


Entry 4:
# RbH2SeO4, optimized geometry, DFT PBE-GGA
data_RbH2SeO4
_symmetry_space_group_name_H-M 'P 1'
_symmetry_Int_Tables_number 1
_cell_length_a 5.646
_cell_length_b 5.646
_cell_length_c 5.646
_cell_angle_alpha 133.17
_cell_angle_beta 103.94
_cell_angle_gamma 94.29
loop_
_symmetry_equiv_pos_as_xyz
'x,y,z'
loop_
_atom_site_label
_atom_site_fract_x
_atom_site_fract_y
_atom_site_fract_z
_atom_site_occupancy
Rb1 0.000 0.000 0.000 1
H1 0.358 0.858 0.500 1
H2 0.642 0.142 0.500 1
Se1 0.500 0.500 0.000 1
O1 0.250 0.075 0.632 1
O2 0.443 0.618 0.368 1
O3 0.557 0.925 0.175 1
O4 0.750 0.382 0.825 1
# - N(E_F): 1.9 states/eV per cell
# - Calculated total energy: -4.689 eV per atom
# - Total magnetization: 0.0000 μB/atom


Entry 5:
# Pm2Al5Pd2Rh, optimized geometry, DFT PBE-GGA
data_Pm2Al5Pd2Rh
_symmetry_space_group_name_H-M 'P 1'
_symmetry_Int_Tables_number 1
_cell_length_a 10.286
_cell_length_b 10.286
_cell_length_c 3.539
_cell_angle_alpha 90.00
_cell_angle_beta 90.00
_cell_angle_gamma 90.00
loop_
_symmetry_equiv_pos_as_xyz
'x,y,z'
loop_
_atom_site_label
_atom_site_fract_x
_atom_site_fract_y
_atom_site_fract_z
_atom_site_occupancy
Pm1 0.185 0.315 0.000 1
Pm2 0.315 0.815 0.000 1
Pm3 0.685 0.185 0.000 1
Pm4 0.815 0.685 0.000 1
Al1 0.000 0.500 0.500 1
Al2 0.046 0.811 0.500 1
Al3 0.189 0.046 0.500 1
Al4 0.311 0.546 0.500 1
Al5 0.454 0.311 0.500 1
Al6 0.500 0.000 0.500 1
Al7 0.546 0.689 0.500 1
Al8 0.689 0.454 0.500 1
Al9 0.811 0.954 0.500 1
Al10 0.954 0.189 0.500 1
Pd1 0.119 0.619 0.000 1
Pd2 0.381 0.119 0.000 1
Pd3 0.619 0.881 0.000 1
Pd4 0.881 0.381 0.000 1
Rh1 0.000 0.000 0.000 1
Rh2 0.500 0.500 0.000 1
# - N(E_F): 16.6 states/eV per cell
# - Formation enthalpy at 0 K: -0.65 eV/atom
# - Total magnetization: 0.0000 μB/atom


Entry 6:
# Mn4CdAg, optimized geometry, DFT PBE-GGA
data_Mn4CdAg
_symmetry_space_group_name_H-M 'P 1'
_symmetry_Int_Tables_number 1
_cell_length_a 4.981
_cell_length_b 4.981
_cell_length_c 4.981
_cell_angle_alpha 60.00
_cell_angle_beta 60.00
_cell_angle_gamma 60.00
loop_
_symmetry_equiv_pos_as_xyz
'x,y,z'
loop_
_atom_site_label
_atom_site_fract_x
_atom_site_fract_y
_atom_site_fract_z
_atom_site_occupancy
Mn1 0.125 0.125 0.125 1
Mn2 0.125 0.125 0.625 1
Mn3 0.125 0.625 0.125 1
Mn4 0.625 0.125 0.125 1
Cd1 0.500 0.500 0.500 1
Ag1 0.750 0.750 0.750 1
# - N(E_F): 7.0 states/eV per cell
# - Formation enthalpy at 0 K: 0.45 eV/atom
# - Total magnetization: 1.6002 μB/atom


Entry 7:
# Tb4PrNdHo2, optimized geometry, DFT PBE-GGA
data_Tb4PrNdHo2
_symmetry_space_group_name_H-M 'P 1'
_symmetry_Int_Tables_number 1
_cell_length_a 7.198
_cell_length_b 7.198
_cell_length_c 11.597
_cell_angle_alpha 89.99
_cell_angle_beta 89.98
_cell_angle_gamma 60.04
loop_
_symmetry_equiv_pos_as_xyz
'x,y,z'
loop_
_atom_site_label
_atom_site_fract_x
_atom_site_fract_y
_atom_site_fract_z
_atom_site_occupancy
Tb1 0.166 0.167 0.248 1
Tb2 0.167 0.667 0.248 1
Tb3 0.333 0.833 0.752 1
Tb4 0.334 0.333 0.752 1
Tb5 0.666 0.667 0.248 1
Tb6 0.667 0.167 0.248 1
Tb7 0.833 0.333 0.752 1
Tb8 0.834 0.833 0.752 1
Pr1 0.000 0.000 0.500 1
Pr2 0.500 0.000 0.500 1
Nd1 0.500 0.000 0.000 1
Nd2 0.500 0.500 0.500 1
Ho1 0.000 0.000 0.000 1
Ho2 0.000 0.500 0.000 1
Ho3 0.000 0.500 0.500 1
Ho4 0.500 0.500 0.000 1
# - N(E_F): 22.8 states/eV per cell
# - Formation enthalpy at 0 K: 0.00 eV/atom
# - Total magnetization: 0.0000 μB/atom


Entry 8:
# Li2In4Ag3, optimized geometry, DFT PBE-GGA
data_Li2In4Ag3
_symmetry_space_group_name_H-M 'P 1'
_symmetry_Int_Tables_number 1
_cell_length_a 4.413
_cell_length_b 5.203
_cell_length_c 9.069
_cell_angle_alpha 104.71
_cell_angle_beta 90.27
_cell_angle_gamma 115.07
loop_
_symmetry_equiv_pos_as_xyz
'x,y,z'
loop_
_atom_site_label
_atom_site_fract_x
_atom_site_fract_y
_atom_site_fract_z
_atom_site_occupancy
Li1 0.178 0.357 0.233 1
Li2 0.822 0.643 0.767 1
In1 0.161 0.324 0.888 1
In2 0.482 0.965 0.662 1
In3 0.518 0.035 0.338 1
In4 0.839 0.676 0.112 1
Ag1 0.166 0.329 0.561 1
Ag2 0.500 0.000 0.000 1
Ag3 0.834 0.671 0.439 1
# - N(E_F): 2.6 states/eV per cell
# - Formation enthalpy at 0 K: -0.14 eV/atom
# - Total magnetization: 0.0000 μB/atom